(1)
{"formula": "K2In2Bi3", "functional": "GGA-PBE", "state": "relaxed", "cell": [[9.7751, -2.5059, 0.0000], [9.7751, 2.5059, 0.0000], [-8.2229, 0.0000, 11.1386]], "species": ["K", "K", "K", "K", "In", "In", "In", "In", "Bi", "Bi", "Bi", "Bi", "Bi", "Bi"], "fractional_positions": [[0.1031, 0.1031, 0.4553], [0.2383, 0.2383, 0.8425], [0.7617, 0.7617, 0.1575], [0.8969, 0.8969, 0.5447], [0.0918, 0.0918, 0.1563], [0.4737, 0.4737, 0.2062], [0.5263, 0.5263, 0.7938], [0.9082, 0.9082, 0.8437], [0.1046, 0.1046, 0.9484], [0.3398, 0.3398, 0.6908], [0.4225, 0.4225, 0.3725], [0.5775, 0.5775, 0.6275], [0.6602, 0.6602, 0.3092], [0.8954, 0.8954, 0.0516]], "spacegroup": "No. 12", "dos_at_fermi_per_ev_atom": 0.180, "e_tot_ev_per_atom": -2.990}

---

(2)
{"formula": "NdTmCu", "functional": "GGA-PBE", "state": "relaxed", "cell": [[4.7358, 0.0000, 0.0000], [0.0000, 4.7358, 0.0000], [0.0000, 0.0000, 6.9826]], "species": ["Nd", "Nd", "Tm", "Tm", "Cu", "Cu"], "fractional_positions": [[0.2500, 0.2500, 0.1130], [0.7500, 0.7500, 0.8870], [0.2500, 0.7500, 0.5000], [0.7500, 0.2500, 0.5000], [0.2500, 0.2500, 0.7175], [0.7500, 0.7500, 0.2825]], "spacegroup": "No. 129", "dos_at_fermi_per_ev_atom": 0.992, "relative_energy_mev_per_atom": 0.0}

---

(3)
{"formula": "BaFe2Ru", "functional": "GGA-PBE", "state": "relaxed", "cell": [[2.1031, 1.2143, 5.8291], [-2.1031, 1.2143, 5.8291], [0.0000, -2.4285, 5.8291]], "species": ["Ba", "Fe", "Fe", "Ru"], "fractional_positions": [[0.0000, 0.0000, 0.0000], [0.5060, 0.5060, 0.5060], [0.8133, 0.8133, 0.8133], [0.1868, 0.1868, 0.1868]], "spacegroup": "No. 160", "dos_at_fermi_per_ev_atom": 1.473, "e_tot_ev_per_atom": -6.648}

---

(4)
{"formula": "LaTcPt2", "functional": "GGA-PBE", "state": "relaxed", "cell": [[1.4594, 0.8426, 9.8706], [-1.4594, 0.8426, 9.8706], [0.0000, -1.6852, 9.8706]], "species": ["La", "Tc", "Pt", "Pt"], "fractional_positions": [[0.0000, 0.0000, 0.0000], [0.5000, 0.5000, 0.5000], [0.2401, 0.2401, 0.2401], [0.7599, 0.7599, 0.7599]], "spacegroup": "No. 166", "dos_at_fermi_per_ev_atom": 1.353, "relative_energy_mev_per_atom": 431.9}

---

(5)
{"formula": "CuIr4Rh3", "functional": "GGA-PBE", "state": "relaxed", "cell": [[-1.3504, 4.3853, 4.9058], [1.3504, -4.3853, 4.9058], [1.3504, 4.3853, -4.9058]], "species": ["Cu", "Ir", "Ir", "Ir", "Ir", "Rh", "Rh", "Rh"], "fractional_positions": [[0.0000, 0.0000, 0.0000], [0.1224, 0.8694, 0.2530], [0.3837, 0.1306, 0.2530], [0.6163, 0.8694, 0.7470], [0.8776, 0.1306, 0.7470], [0.2227, 0.7227, 0.5000], [0.5000, 0.5000, 0.0000], [0.7773, 0.2773, 0.5000]], "spacegroup": "No. 71", "dos_at_fermi_per_ev_atom": 1.237, "e_tot_ev_per_atom": -7.534}

---

(6)
{"formula": "Ca2CdI2O2", "functional": "GGA-PBE", "state": "relaxed", "cell": [[-2.1515, 2.1515, 10.0149], [2.1515, -2.1515, 10.0149], [2.1515, 2.1515, -10.0149]], "species": ["Ca", "Ca", "Cd", "I", "I", "O", "O"], "fractional_positions": [[0.0760, 0.0760, 0.0000], [0.9240, 0.9240, 0.0000], [0.5000, 0.5000, 0.0000], [0.3405, 0.3405, 0.0000], [0.6595, 0.6595, 0.0000], [0.0000, 0.5000, 0.5000], [0.5000, 0.0000, 0.5000]], "spacegroup": "No. 139", "raw_formation_energy_kcal_per_mol_atoms": -38.81}